# CuBrNF2 | Alexandria | PBE-GGA | relaxed
data_CuBrNF2
_symmetry_space_group_name_H-M 'P 4/m m m'
_symmetry_Int_Tables_number 123
_symmetry_space_group_name_Hall '-P 4 2'
_cell_length_a 4.6494
_cell_length_b 4.6494
_cell_length_c 3.6582
_cell_angle_alpha 90.00
_cell_angle_beta 90.00
_cell_angle_gamma 90.00
loop_
_atom_site_label
_atom_site_type_symbol
_atom_site_fract_x
_atom_site_fract_y
_atom_site_fract_z
Cu1 Cu 0.0000 0.0000 0.0000
Br1 Br 0.5000 0.5000 0.5000
N1 N 0.5000 0.5000 0.0000
F1 F 0.0000 0.5000 0.5000
# DOS at the Fermi energy = 1.6 states/eV per cell
# Formation energy (no corrections) = 0.69 eV per atom



# CuBrN2F | Alexandria | PBE-GGA | relaxed
data_CuBrN2F
_symmetry_space_group_name_H-M 'P 4/m m m'
_symmetry_Int_Tables_number 123
_symmetry_space_group_name_Hall '-P 4 2'
_cell_length_a 3.7201
_cell_length_b 3.7201
_cell_length_c 5.1622
_cell_angle_alpha 90.00
_cell_angle_beta 90.00
_cell_angle_gamma 90.00
loop_
_atom_site_label
_atom_site_type_symbol
_atom_site_fract_x
_atom_site_fract_y
_atom_site_fract_z
Cu1 Cu 0.0000 0.0000 0.0000
Br1 Br 0.5000 0.5000 0.5000
N1 N 0.0000 0.5000 0.5000
F1 F 0.5000 0.5000 0.0000
# DOS at the Fermi energy = 4.2 states/eV per cell
# Formation energy (no corrections) = 1.81 eV per atom



# CuBrNF2 | Alexandria | PBE-GGA | relaxed
data_CuBrNF2
_symmetry_space_group_name_H-M 'P 4/m m m'
_symmetry_Int_Tables_number 123
_symmetry_space_group_name_Hall '-P 4 2'
_cell_length_a 3.6698
_cell_length_b 3.6698
_cell_length_c 4.9520
_cell_angle_alpha 90.00
_cell_angle_beta 90.00
_cell_angle_gamma 90.00
loop_
_atom_site_label
_atom_site_type_symbol
_atom_site_fract_x
_atom_site_fract_y
_atom_site_fract_z
Cu1 Cu 0.0000 0.0000 0.0000
Br1 Br 0.5000 0.5000 0.5000
N1 N 0.0000 0.0000 0.5000
F1 F 0.0000 0.5000 0.0000
# DOS at the Fermi energy = 2.4 states/eV per cell
# Formation energy (no corrections) = 0.17 eV per atom



# CuBrN2F | Alexandria | PBE-GGA | relaxed
data_CuBrN2F
_symmetry_space_group_name_H-M 'P 4/m m m'
_symmetry_Int_Tables_number 123
_symmetry_space_group_name_Hall '-P 4 2'
_cell_length_a 4.0034
_cell_length_b 4.0034
_cell_length_c 3.9135
_cell_angle_alpha 90.00
_cell_angle_beta 90.00
_cell_angle_gamma 90.00
loop_
_atom_site_label
_atom_site_type_symbol
_atom_site_fract_x
_atom_site_fract_y
_atom_site_fract_z
Cu1 Cu 0.0000 0.0000 0.0000
Br1 Br 0.5000 0.5000 0.5000
N1 N 0.0000 0.5000 0.0000
F1 F 0.0000 0.0000 0.5000
# DOS at the Fermi energy = 2.9 states/eV per cell
# Formation energy (no corrections) = 1.28 eV per atom



Number 1: volume 79 Å³/f.u.. Number 2: volume 71 Å³/f.u.. Number 3: volume 67 Å³/f.u.. Number 4: volume 63 Å³/f.u..